NaNiBi2Ru after structural relaxation. Source: the Alexandria database, functional PBE.

## Properties
* space-group type: P4/mmm
* density of states at the Fermi level: 1.2832 states/eV per atom
* calculated density: 7.81 g cm⁻³
* formation energy from the elements: 1.636 eV/atom

Cell: 5.2472 4.6371 5.2472 Å, 90.00 90.00 90.00°
Last column: magnetic moment on the atom in μB.
Fractional coordinates of all 5 atoms:
Bi (0.0000, 0.0000, 0.5000)  -0.03
Bi (0.5000, 0.0000, 0.0000)  -0.04
Na (0.0000, 0.0000, 0.0000)  0.01
Ru (0.0000, 0.5000, 0.0000)  1.38
Ni (0.5000, 0.5000, 0.5000)  0.56

=====

Ta2NbCrH after structural relaxation. Source: the Alexandria database, functional PBE.

## Properties
* space-group type: P4/mmm
* calculated total energy: -46.8 eV/cell
* density of states at the Fermi level: 0.7239 states/eV per atom
* calculated density: 12.30 g cm⁻³

Cell: 4.5276 4.5276 3.3445 Å, 90.00 90.00 90.00°
Fractional coordinates of all 5 atoms:
Ta (0.0000, 0.5000, 0.0000)
Ta (0.5000, 0.0000, 0.0000)
H (0.0000, 0.0000, 0.0000)
Cr (0.0000, 0.0000, 0.5000)
Nb (0.5000, 0.5000, 0.5000)

=====

BaNaPr after structural relaxation. Source: the Alexandria database, functional PBE.

## Properties
* space-group type: P4/nmm
* density of states at the Fermi level: 0.9523 states/eV per atom
* calculated density: 3.82 g cm⁻³
* ΔE to the lowest computed polymorph: 0 meV per atom
* formation energy from the elements: 0.073 eV/atom

Cell: 4.1058 4.1058 15.5532 Å, 90.00 90.00 90.00°
Fractional coordinates of all 6 atoms:
Pr (0.0000, 0.5000, 0.9300)
Pr (0.5000, 0.0000, 0.0700)
Na (0.5000, 0.0000, 0.4370)
Na (0.0000, 0.5000, 0.5630)
Ba (0.0000, 0.5000, 0.2550)
Ba (0.5000, 0.0000, 0.7450)

=====

AlIrF2 after structural relaxation. Source: the Alexandria database, functional PBE.

## Properties
* space-group type: R-3m
* density of states at the Fermi level: 0.7308 states/eV per atom
* calculated density: 6.63 g cm⁻³
* ΔE to the lowest computed polymorph: 0 meV per atom
* ΔE_f (raw): -1.057 eV/atom

Cell: 10.2850 10.2850 10.2850 Å, 15.12 15.12 15.12°
Last column: magnetic moment on the atom in μB.
Fractional coordinates of all 4 atoms:
F (0.1231, 0.1231, 0.1231)  0.01
F (0.8769, 0.8769, 0.8769)  0.01
Ir (0.0000, 0.0000, 0.0000)  0.67
Al (0.5000, 0.5000, 0.5000)  0.01

=====

Mg2OsRhO8 after structural relaxation. Source: the Alexandria database, functional PBE.

## Properties
* space-group type: Cmmm
* density of states at the Fermi level: 0.2409 states/eV per atom
* calculated density: 5.76 g cm⁻³
* ΔE_f (raw): -1.368 eV/atom

Cell: 4.6881 4.6821 6.1769 Å, 90.00 90.00 92.11°
Last column: magnetic moment on the atom in μB.
Fractional coordinates of all 12 atoms:
O (0.2902, 0.2891, 0.5000)  0.36
O (0.8144, 0.1867, 0.2375)  0.04
O (0.2854, 0.2844, 0.0000)  0.02
O (0.1856, 0.8132, 0.2375)  0.04
O (0.7146, 0.7156, 0.0000)  0.02
O (0.7098, 0.7109, 0.5000)  0.36
O (0.1856, 0.8133, 0.7625)  0.04
O (0.8144, 0.1868, 0.7625)  0.04
Mg (0.5000, 0.5000, 0.2526)  0.01
Mg (0.5000, 0.5000, 0.7474)  0.01
Os (0.0000, 0.0000, 0.0000)  0.33
Rh (0.0000, 0.0000, 0.5000)  0.92

=====

Ac9LaDy2 after structural relaxation. Source: the Alexandria database, functional PBE.

## Properties
* space-group type: P4/mmm
* density of states at the Fermi level: 1.6589 states/eV per atom
* calculated density: 8.28 g cm⁻³
* formation energy from the elements: 0.031 eV/atom

Cell: 5.5071 5.5071 16.5722 Å, 90.00 90.00 90.00°
Fractional coordinates of all 12 atoms:
Ac (0.0000, 0.5000, 0.8302)
Ac (0.5000, 0.5000, 0.0000)
Ac (0.0000, 0.5000, 0.1698)
Ac (0.5000, 0.0000, 0.1698)
Ac (0.5000, 0.5000, 0.3353)
Ac (0.5000, 0.0000, 0.5000)
Ac (0.5000, 0.5000, 0.6647)
Ac (0.5000, 0.0000, 0.8302)
Ac (0.0000, 0.5000, 0.5000)
La (0.0000, 0.0000, 0.0000)
Dy (0.0000, 0.0000, 0.6652)
Dy (0.0000, 0.0000, 0.3348)

=====

Ho5Al2Pb after structural relaxation. Source: the Alexandria database, functional PBE.

## Properties
* space-group type: I4/mcm
* density of states at the Fermi level: 0.8352 states/eV per atom
* calculated density: 8.28 g cm⁻³
* formation energy from the elements: -0.381 eV/atom

Cell: 7.9536 7.9536 8.8878 Å, 116.58 116.58 90.00°
Fractional coordinates of all 16 atoms:
Ho (0.0170, 0.5170, 0.7087)
Ho (0.5170, 0.6917, 0.7087)
Ho (0.4830, 0.3083, 0.2913)
Ho (0.0000, 0.0000, 0.0000)
Ho (0.3083, 0.8083, 0.2913)
Ho (0.1917, 0.0170, 0.7087)
Ho (0.9830, 0.4830, 0.2913)
Ho (0.6917, 0.1917, 0.7087)
Ho (0.5000, 0.5000, 0.0000)
Ho (0.8083, 0.9830, 0.2913)
Al (0.6270, 0.1270, 0.0000)
Al (0.3730, 0.8730, 0.0000)
Al (0.8730, 0.6270, 0.0000)
Al (0.1270, 0.3730, 0.0000)
Pb (0.7500, 0.7500, 0.5000)
Pb (0.2500, 0.2500, 0.5000)

=====

CoPAuCl2 after structural relaxation. Source: the Alexandria database, functional PBE.

## Properties
* space-group type: P4/mmm
* density of states at the Fermi level: 0.5640 states/eV per atom
* calculated density: 6.20 g cm⁻³
* ΔE to the lowest computed polymorph: 0 meV per atom
* ΔE_f (raw): 0.382 eV/atom

Cell: 4.7384 4.7384 4.2682 Å, 90.00 90.00 90.00°
Last column: magnetic moment on the atom in μB.
Fractional coordinates of all 5 atoms:
Co (0.0000, 0.0000, 0.0000)  0.11
Au (0.5000, 0.5000, 0.5000)  0.00
Cl (0.5000, 0.0000, 0.0000)  0.00
Cl (0.0000, 0.5000, 0.0000)  0.00
P (0.0000, 0.0000, 0.5000)  -0.01

=====

HoLuPd after structural relaxation. Source: the Alexandria database, functional PBE.

## Properties
* space-group type: P3m1
* density of states at the Fermi level: 0.9169 states/eV per atom
* calculated density: 10.26 g cm⁻³
* ΔE to the lowest computed polymorph: 166 meV per atom
* formation energy from the elements: -0.422 eV/atom

Cell: 3.6852 4.7578 4.7578 Å, 120.00 90.00 90.00°
Fractional coordinates of all 3 atoms:
Ho (0.6087, 0.6667, 0.3333)
Lu (0.0793, 0.0000, 0.0000)
Pd (0.3120, 0.3333, 0.6667)

=====

La6PrIn2 after structural relaxation. Source: the Alexandria database, functional PBE.

## Properties
* space-group type: P4_2/mnm
* density of states at the Fermi level: 1.6076 states/eV per atom
* calculated density: 5.46 g cm⁻³
* ΔE to the lowest computed polymorph: 459 meV per atom
* formation energy from the elements: 0.233 eV/atom

Cell: 7.9926 7.9926 11.4741 Å, 90.00 90.00 90.00°
Fractional coordinates of all 18 atoms:
La (0.7207, 0.7207, 0.6815)
La (0.2793, 0.2793, 0.6815)
La (0.2207, 0.7793, 0.8185)
La (0.7506, 0.2494, 0.5000)
La (0.2207, 0.7793, 0.1815)
La (0.7793, 0.2207, 0.8185)
La (0.7793, 0.2207, 0.1815)
La (0.7494, 0.7494, 0.0000)
La (0.2793, 0.2793, 0.3185)
La (0.2506, 0.2506, 0.0000)
La (0.2494, 0.7506, 0.5000)
La (0.7207, 0.7207, 0.3185)
Pr (0.5000, 0.5000, 0.5000)
Pr (0.0000, 0.0000, 0.0000)
In (0.0000, 0.0000, 0.3673)
In (0.5000, 0.5000, 0.1327)
In (0.0000, 0.0000, 0.6327)
In (0.5000, 0.5000, 0.8673)

=====

MnTc2Br after structural relaxation. Source: the Alexandria database, functional PBE.

## Properties
* space-group type: Cm
* density of states at the Fermi level: 0.8377 states/eV per atom
* calculated density: 8.84 g cm⁻³
* ΔE to the lowest computed polymorph: 400 meV per atom
* ΔE_f (raw): 0.701 eV/atom

Cell: 4.8682 4.8682 4.5372 Å, 86.28 86.28 35.39°
Last column: magnetic moment on the atom in μB.
Fractional coordinates of all 4 atoms:
Mn (0.7324, 0.7324, 0.7730)  2.83
Br (0.5009, 0.5009, 0.5168)  0.00
Tc (0.2699, 0.2699, 0.2101)  -0.26
Tc (0.9968, 0.9968, 0.0001)  -0.25

=====

Er2MgCd after structural relaxation. Source: the Alexandria database, functional PBE.

## Properties
* space-group type: P4/mmm
* density of states at the Fermi level: 0.9707 states/eV per atom
* calculated density: 7.53 g cm⁻³
* ΔE to the lowest computed polymorph: 0 meV per atom
* formation energy from the elements: -0.194 eV/atom

Cell: 3.8100 5.2225 5.2225 Å, 90.00 90.00 90.00°
Fractional coordinates of all 4 atoms:
Mg (0.5000, 0.5000, 0.5000)
Er (0.0000, 0.0000, 0.5000)
Er (0.0000, 0.5000, 0.0000)
Cd (0.5000, 0.0000, 0.0000)

=====

ScCdGa2Pd2 after structural relaxation. Source: the Alexandria database, functional PBE.

## Properties
* space-group type: P-3m1
* density of states at the Fermi level: 0.3221 states/eV per atom
* calculated density: 8.09 g cm⁻³
* formation energy from the elements: -0.611 eV/atom

Cell: 4.4415 4.4415 6.1196 Å, 90.00 90.00 120.00°
Fractional coordinates of all 6 atoms:
Ga (0.6667, 0.3333, 0.2675)
Ga (0.3333, 0.6667, 0.7325)
Cd (0.0000, 0.0000, 0.0000)
Pd (0.3333, 0.6667, 0.2475)
Pd (0.6667, 0.3333, 0.7525)
Sc (0.0000, 0.0000, 0.5000)

=====

LaZn4Cd after structural relaxation. Source: the Alexandria database, functional PBE.

## Properties
* space-group type: Cmcm
* density of states at the Fermi level: 0.4883 states/eV per atom
* calculated density: 6.92 g cm⁻³
* formation energy from the elements: -0.192 eV/atom

Cell: 4.4574 6.6421 8.6051 Å, 90.00 105.01 90.00°
Fractional coordinates of all 12 atoms:
La (0.8815, 0.7500, 0.7630)
La (0.1185, 0.2500, 0.2370)
Cd (0.7684, 0.2500, 0.5368)
Cd (0.2316, 0.7500, 0.4632)
Zn (0.5000, 0.0000, 0.0000)
Zn (0.3433, 0.0603, 0.6866)
Zn (0.5000, 0.5000, 0.0000)
Zn (0.9328, 0.2500, 0.8656)
Zn (0.6567, 0.5603, 0.3134)
Zn (0.6567, 0.9397, 0.3134)
Zn (0.3433, 0.4397, 0.6866)
Zn (0.0672, 0.7500, 0.1344)

=====

LiCe3Th4S8 after structural relaxation. Source: the Alexandria database, functional PBE.

## Properties
* space-group type: R-3m
* density of states at the Fermi level: 1.0910 states/eV per atom
* calculated density: 7.34 g cm⁻³
* ΔE_f (raw): -1.874 eV/atom

Cell: 8.0119 8.0281 8.0119 Å, 119.93 120.00 90.00°
Last column: magnetic moment on the atom in μB.
Fractional coordinates of all 16 atoms:
Th (0.0000, 0.0000, 0.0000)  0.00
Th (0.5000, 0.0000, 0.5000)  0.00
Th (0.5000, 0.0000, 0.0000)  0.01
Th (0.0000, 0.0000, 0.5000)  0.00
S (0.7586, 0.2600, 0.5172)  -0.01
S (0.2428, 0.2600, 0.0014)  -0.01
S (0.2510, 0.2531, 0.5020)  -0.01
S (0.7490, 0.7469, 0.4980)  -0.01
S (0.2414, 0.7400, 0.4828)  -0.01
S (0.2415, 0.7400, 0.9986)  -0.01
S (0.7585, 0.2600, 0.0014)  -0.01
S (0.7572, 0.7400, 0.9986)  -0.01
Ce (0.5000, 0.5000, 0.0000)  0.52
Ce (0.5000, 0.5000, 0.5000)  0.52
Ce (0.0000, 0.5000, 0.5000)  0.52
Li (0.0000, 0.5000, 0.0000)  0.00

=====

EuTlZnIn after structural relaxation. Source: the Alexandria database, functional PBE.

## Properties
* space-group type: F-43m
* density of states at the Fermi level: 0.3579 states/eV per atom
* calculated density: 8.66 g cm⁻³
* formation energy from the elements: -0.231 eV/atom

Cell: 5.2596 5.2596 5.2596 Å, 60.00 60.00 60.00°
Last column: magnetic moment on the atom in μB.
Fractional coordinates of all 4 atoms:
In (0.2500, 0.2500, 0.2500)  0.01
Eu (0.7500, 0.7500, 0.7500)  -6.83
Tl (0.5000, 0.5000, 0.5000)  -0.01
Zn (0.0000, 0.0000, 0.0000)  -0.01

=====

BaAl3As after structural relaxation. Source: the Alexandria database, functional PBE.

## Properties
* space-group type: Pm-3m
* density of states at the Fermi level: 0.8451 states/eV per atom
* calculated density: 2.38 g cm⁻³
* ΔE to the lowest computed polymorph: 1381 meV per atom
* formation energy from the elements: 1.610 eV/atom

Cell: 5.8914 5.8914 5.8914 Å, 90.00 90.00 90.00°
Fractional coordinates of all 5 atoms:
Al (0.5000, 0.0000, 0.0000)
Al (0.0000, 0.5000, 0.0000)
Al (0.0000, 0.0000, 0.5000)
Ba (0.0000, 0.0000, 0.0000)
As (0.5000, 0.5000, 0.5000)

=====

Ho4Tl after structural relaxation. Source: the Alexandria database, functional PBE.

## Properties
* space-group type: Pm-3m
* density of states at the Fermi level: 1.7101 states/eV per atom
* calculated density: 7.70 g cm⁻³
* ΔE to the lowest computed polymorph: 570 meV per atom
* formation energy from the elements: 0.449 eV/atom

Cell: 5.7111 5.7111 5.7111 Å, 90.00 90.00 90.00°
Fractional coordinates of all 5 atoms:
Ho (0.5000, 0.5000, 0.0000)
Ho (0.0000, 0.5000, 0.5000)
Ho (0.0000, 0.0000, 0.0000)
Ho (0.5000, 0.0000, 0.5000)
Tl (0.5000, 0.5000, 0.5000)

=====

Hf2NpTl after structural relaxation. Source: the Alexandria database, functional PBE.

## Properties
* space-group type: P4/mmm
* density of states at the Fermi level: 1.8984 states/eV per atom
* calculated density: 14.28 g cm⁻³
* ΔE to the lowest computed polymorph: 31 meV per atom
* formation energy from the elements: 0.286 eV/atom

Cell: 3.2890 3.2890 8.5837 Å, 90.00 90.00 90.00°
Last column: magnetic moment on the atom in μB.
Fractional coordinates of all 4 atoms:
Tl (0.5000, 0.5000, 0.5000)  0.01
Hf (0.0000, 0.0000, 0.2529)  0.08
Hf (0.0000, 0.0000, 0.7471)  0.08
Np (0.5000, 0.5000, 0.0000)  3.64

=====

PrSm4Ho4 after structural relaxation. Source: the Alexandria database, functional PBE.

## Properties
* space-group type: I4/mmm
* density of states at the Fermi level: 1.4323 states/eV per atom
* calculated density: 7.91 g cm⁻³
* formation energy from the elements: 0.018 eV/atom

Cell: 5.0601 8.0353 8.0353 Å, 84.31 71.65 71.65°
Fractional coordinates of all 9 atoms:
Sm (0.3324, 0.6676, 0.6676)
Sm (0.0000, 0.6676, 0.3324)
Sm (0.6676, 0.3324, 0.3324)
Sm (0.0000, 0.3324, 0.6676)
Ho (0.3328, 0.3345, 0.9999)
Ho (0.3327, 0.0001, 0.3345)
Ho (0.6672, 0.6655, 0.0001)
Ho (0.6673, 0.9999, 0.6655)
Pr (0.0000, 0.0000, 0.0000)